Entry 1:
! PBE Nd2Y2Ho15, relaxed; values from VASP
&SYSTEM
  ibrav = 0, nat = 19, ntyp = 3
/
ATOMIC_SPECIES
Ho 164.93 Ho.upf
Nd 144.24 Nd.upf
Y 88.91 Y.upf
ATOMIC_POSITIONS angstrom
Ho -7.476 -2.613 -3.855
Ho -8.014 2.641 -2.528
Ho -6.512 1.071 2.423
Ho -5.354 -4.168 -1.840
Ho -8.631 -1.205 1.277
Ho -6.065 -3.302 1.319
Ho -5.170 2.267 -4.190
Ho -8.405 0.374 -4.883
Ho -3.421 2.152 1.620
Ho -2.230 0.700 -3.674
Ho -4.840 -0.967 -5.007
Ho -9.560 1.782 0.249
Ho -9.022 -3.472 -1.078
Ho -6.132 3.438 0.082
Ho -2.867 -3.268 0.251
Nd -11.448 -0.558 -2.423
Nd -5.588 -0.273 -1.183
Y -1.683 -0.082 -0.356
Y -15.353 -0.749 -3.250
CELL_PARAMETERS angstrom
-6.842 4.304 3.240
-4.460 1.401 -7.348
-5.734 -6.536 0.502
! Calculated total energy   -85.9 eV/cell
! D(E_F)   2.002 states/eV/atom
! Density   7.686 g cm⁻³
! Total magnetization   0.9 μB/f.u.
! Formation enthalpy at 0 K   0.277 eV/atom

***

Entry 2:
! PBE Nd5YHo2, relaxed; values from VASP
&SYSTEM
  ibrav = 0, nat = 16, ntyp = 3
/
ATOMIC_SPECIES
Nd 144.24 Nd.upf
Ho 164.93 Ho.upf
Y 88.91 Y.upf
ATOMIC_POSITIONS angstrom
Nd 9.503 2.795 4.503
Nd 7.541 2.608 1.454
Nd 0.000 0.000 0.000
Nd 9.563 7.922 4.138
Nd 7.489 -2.493 1.819
Nd 4.997 0.037 1.088
Nd 10.085 5.179 1.819
Nd 4.427 -2.337 3.774
Nd 4.487 2.790 3.409
Nd 7.593 7.708 1.088
Ho 1.947 0.199 3.046
Ho 12.043 5.386 4.866
Ho 7.017 5.337 3.773
Ho 6.973 0.248 4.139
Y 2.481 -2.541 0.729
Y 5.060 5.149 0.724
CELL_PARAMETERS angstrom
-1.093 0.370 5.005
4.962 -5.082 1.459
10.120 10.298 1.449
! Calculated total energy   -78.7 eV/cell
! D(E_F)   1.489 states/eV/atom
! Density   7.006 g cm⁻³
! Total magnetization   0.0 μB/f.u.
! Formation enthalpy at 0 K   0.016 eV/atom

***

Entry 3:
! PBE Nd7Y3Ho, relaxed; values from VASP
&SYSTEM
  ibrav = 0, nat = 22, ntyp = 3
/
ATOMIC_SPECIES
Ho 164.93 Ho.upf
Nd 144.24 Nd.upf
Y 88.91 Y.upf
ATOMIC_POSITIONS angstrom
Ho 3.322 2.092 6.133
Ho 4.573 1.217 12.266
Nd 3.590 3.810 3.066
Nd 3.054 0.374 9.199
Nd 0.570 6.188 -0.351
Nd 1.822 5.331 5.798
Nd 4.822 -1.147 6.467
Nd 9.273 -2.095 10.893
Nd -1.405 5.360 7.505
Nd -2.628 6.278 1.372
Nd -0.221 2.389 5.782
Nd 6.866 1.795 6.484
Nd 8.132 0.927 12.600
Nd -1.488 3.256 -0.335
Nd 6.075 -2.005 12.617
Nd 8.049 -1.177 4.761
Y 6.515 -0.146 9.597
Y 5.274 0.743 3.464
Y -4.431 7.502 4.095
Y 0.129 4.329 2.669
Y 1.370 3.440 8.801
Y 0.000 0.000 0.000
CELL_PARAMETERS angstrom
9.824 -2.444 2.038
-5.682 8.376 -2.039
2.502 -1.749 12.267
! Calculated total energy   -110.7 eV/cell
! D(E_F)   1.580 states/eV/atom
! Density   6.028 g cm⁻³
! Total magnetization   0.0 μB/f.u.
! Formation enthalpy at 0 K   0.183 eV/atom

***

Entry 4:
! PBE Nd4YHo8, relaxed; values from VASP
&SYSTEM
  ibrav = 0, nat = 13, ntyp = 3
/
ATOMIC_SPECIES
Nd 144.24 Nd.upf
Ho 164.93 Ho.upf
Y 88.91 Y.upf
ATOMIC_POSITIONS angstrom
Nd 4.856 0.000 -2.620
Nd 0.000 0.000 0.000
Nd 1.721 4.540 -2.620
Nd -3.135 4.541 0.000
Ho 2.592 1.789 -0.773
Ho 1.461 1.009 2.708
Ho -3.293 0.945 5.518
Ho 7.643 1.789 -3.498
Ho 4.383 6.512 -3.498
Ho -1.502 5.668 2.792
Ho -6.553 5.668 5.517
Ho -0.371 6.448 -0.689
Y -4.311 3.729 3.630
CELL_PARAMETERS angstrom
9.712 -0.001 -5.240
-6.269 9.082 -0.001
-2.353 -1.624 7.260
! Calculated total energy   -55.4 eV/cell
! D(E_F)   1.610 states/eV/atom
! Density   6.941 g cm⁻³
! Total magnetization   1.6 μB/f.u.
! Formation enthalpy at 0 K   0.516 eV/atom

***

Entry 5:
! PBE Nd3YHo3, relaxed; values from VASP
&SYSTEM
  ibrav = 0, nat = 14, ntyp = 3
/
ATOMIC_SPECIES
Nd 144.24 Nd.upf
Ho 164.93 Ho.upf
Y 88.91 Y.upf
ATOMIC_POSITIONS angstrom
Nd -1.805 0.754 9.037
Nd -2.592 -7.078 11.453
Nd -4.562 -3.997 6.980
Nd 1.182 -4.214 8.145
Nd 0.165 -2.327 13.511
Nd -5.579 -2.110 12.346
Ho -2.707 -0.567 12.029
Ho 0.405 -1.319 10.281
Ho 0.298 -4.800 11.367
Ho -4.695 -1.524 9.123
Ho -1.689 -5.757 8.462
Ho -4.801 -5.005 10.210
Y -2.861 -4.115 13.335
Y -1.535 -2.208 7.156
CELL_PARAMETERS angstrom
-4.718 -5.517 5.080
3.362 -3.344 7.485
-3.041 2.538 7.926
! Calculated total energy   -65.5 eV/cell
! D(E_F)   1.563 states/eV/atom
! Density   7.048 g cm⁻³
! Total magnetization   0.0 μB/f.u.
! Formation enthalpy at 0 K   0.248 eV/atom

***

Entry 6:
! PBE Nd6YHo6, relaxed; values from VASP
&SYSTEM
  ibrav = 0, nat = 13, ntyp = 3
/
ATOMIC_SPECIES
Ho 164.93 Ho.upf
Nd 144.24 Nd.upf
Y 88.91 Y.upf
ATOMIC_POSITIONS angstrom
Ho 1.686 2.920 8.596
Ho -1.686 2.920 2.814
Ho 1.686 2.920 2.814
Ho 3.372 0.000 2.814
Ho 3.372 0.000 8.596
Ho -1.686 2.920 8.596
Nd 0.000 0.000 3.925
Nd 0.000 0.000 7.485
Nd 0.000 3.894 0.000
Nd 3.372 1.946 0.000
Nd 3.372 1.946 5.705
Nd 0.000 3.894 5.705
Y 0.000 0.000 0.000
CELL_PARAMETERS angstrom
6.744 0.000 0.000
-3.371 5.840 0.000
0.000 0.000 11.410
! Calculated total energy   -59.1 eV/cell
! D(E_F)   2.191 states/eV/atom
! Density   7.183 g cm⁻³
! Total magnetization   0.1 μB/f.u.
! Formation enthalpy at 0 K   0.263 eV/atom

***

Entry 7:
! PBE Nd4Y4Ho, relaxed; values from VASP
&SYSTEM
  ibrav = 0, nat = 9, ntyp = 3
/
ATOMIC_SPECIES
Ho 164.93 Ho.upf
Nd 144.24 Nd.upf
Y 88.91 Y.upf
ATOMIC_POSITIONS angstrom
Ho 0.000 0.000 0.000
Nd 5.976 0.915 6.494
Nd 3.347 0.432 8.954
Nd 2.480 1.408 5.564
Nd 5.109 1.890 3.104
Y 0.846 -0.945 3.373
Y 5.158 -2.416 7.683
Y 7.610 3.268 8.685
Y 3.298 4.739 4.375
CELL_PARAMETERS angstrom
-0.968 1.896 4.647
3.531 -4.772 5.494
5.893 5.198 1.917
! Calculated total energy   -49.3 eV/cell
! D(E_F)   1.573 states/eV/atom
! Density   6.054 g cm⁻³
! Total magnetization   0.0 μB/f.u.
! Formation enthalpy at 0 K   0.020 eV/atom

***

Entry 8:
! PBE Nd3YHo3, relaxed; values from VASP
&SYSTEM
  ibrav = 0, nat = 14, ntyp = 3
/
ATOMIC_SPECIES
Nd 144.24 Nd.upf
Y 88.91 Y.upf
Ho 164.93 Ho.upf
ATOMIC_POSITIONS angstrom
Nd -7.078 -2.976 0.447
Nd -6.967 5.070 1.268
Nd -7.339 2.408 3.662
Nd -2.334 1.114 0.101
Nd -2.223 9.160 0.922
Nd -1.963 3.776 -2.293
Y -5.584 0.183 1.404
Y -3.718 6.002 -0.034
Ho -8.536 1.897 0.345
Ho -4.038 3.345 2.333
Ho -0.766 4.287 1.024
Ho -6.767 -0.340 -1.927
Ho -5.263 2.839 -0.964
Ho -2.534 6.525 3.297
CELL_PARAMETERS angstrom
-2.542 2.567 -4.505
-8.086 -4.998 1.714
1.327 8.616 4.160
! Calculated total energy   -68.7 eV/cell
! D(E_F)   1.749 states/eV/atom
! Density   7.235 g cm⁻³
! Total magnetization   0.0 μB/f.u.
! Formation enthalpy at 0 K   0.020 eV/atom

***

Entry 9:
! PBE Nd7Y2Ho, relaxed; values from VASP
&SYSTEM
  ibrav = 0, nat = 10, ntyp = 3
/
ATOMIC_SPECIES
Y 88.91 Y.upf
Nd 144.24 Nd.upf
Ho 164.93 Ho.upf
ATOMIC_POSITIONS angstrom
Y -3.367 -7.454 -2.233
Y 7.233 -3.549 -2.641
Nd -0.745 -6.700 -0.575
Nd 2.969 -1.972 -2.181
Nd -1.123 -3.479 -2.024
Nd 0.897 -9.030 -2.693
Nd 1.933 -5.501 -2.437
Nd 4.868 -4.632 -0.791
Nd 4.988 -7.523 -2.850
Ho 0.000 0.000 0.000
CELL_PARAMETERS angstrom
-0.256 0.330 -3.507
10.014 -2.736 -0.989
-5.892 -8.596 -0.377
! Calculated total energy   -47.0 eV/cell
! D(E_F)   1.610 states/eV/atom
! Density   6.177 g cm⁻³
! Total magnetization   0.0 μB/f.u.
! Formation enthalpy at 0 K   0.388 eV/atom

***

Entry 10:
! PBE NdY8Ho2, relaxed; values from VASP
&SYSTEM
  ibrav = 0, nat = 11, ntyp = 3
/
ATOMIC_SPECIES
Y 88.91 Y.upf
Ho 164.93 Ho.upf
Nd 144.24 Nd.upf
ATOMIC_POSITIONS angstrom
Y -0.256 -2.331 6.591
Y 0.784 0.068 2.435
Y 4.037 -0.866 1.657
Y 4.648 1.287 4.021
Y -4.121 -3.551 5.005
Y -1.112 -2.941 3.176
Y -3.509 -1.397 7.369
Y 1.640 0.678 5.850
Ho -1.906 0.001 4.645
Ho 2.434 -2.264 4.381
Nd 0.164 -2.942 0.068
CELL_PARAMETERS angstrom
0.327 -5.883 0.135
6.917 1.355 2.839
-6.717 2.265 6.053
! Calculated total energy   -63.9 eV/cell
! D(E_F)   1.681 states/eV/atom
! Density   5.431 g cm⁻³
! Total magnetization   0.0 μB/f.u.
! Formation enthalpy at 0 K   0.161 eV/atom

***

Entry 11:
! PBE Nd5Y4Ho3, relaxed; values from VASP
&SYSTEM
  ibrav = 0, nat = 12, ntyp = 3
/
ATOMIC_SPECIES
Nd 144.24 Nd.upf
Y 88.91 Y.upf
Ho 164.93 Ho.upf
ATOMIC_POSITIONS angstrom
Nd 8.926 3.384 6.644
Nd 8.926 6.672 4.700
Nd 5.951 3.431 3.209
Nd 2.975 0.189 1.719
Nd 2.975 3.477 -0.225
Y 2.975 -0.116 5.568
Y 5.951 5.195 6.457
Y 8.926 6.977 0.850
Y 5.951 1.666 -0.039
Ho 2.975 3.431 3.209
Ho 5.951 5.075 0.583
Ho 5.951 1.786 5.836
CELL_PARAMETERS angstrom
5.951 0.000 0.000
2.975 7.711 -2.776
2.975 -0.850 9.194
! Calculated total energy   -60.8 eV/cell
! D(E_F)   1.633 states/eV/atom
! Density   6.399 g cm⁻³
! Total magnetization   0.0 μB/f.u.
! Formation enthalpy at 0 K   0.216 eV/atom

***

Entry 12:
! PBE Nd6Y16Ho7, relaxed; values from VASP
&SYSTEM
  ibrav = 0, nat = 29, ntyp = 3
/
ATOMIC_SPECIES
Y 88.91 Y.upf
Ho 164.93 Ho.upf
Nd 144.24 Nd.upf
ATOMIC_POSITIONS angstrom
Y -22.412 -8.873 1.501
Y -8.061 -1.022 3.121
Y -10.745 -6.872 -2.395
Y -12.946 -0.864 0.244
Y -8.113 -1.851 -2.553
Y -8.835 -3.498 0.592
Y -3.126 -1.238 0.209
Y -10.682 -5.871 4.454
Y -14.793 -3.238 4.106
Y -19.300 -4.111 0.777
Y -17.425 -8.259 4.264
Y -17.476 -9.088 -1.410
Y -16.703 -6.613 1.119
Y -14.856 -4.239 -2.743
Y -12.591 -9.246 1.466
Y -6.237 -5.999 0.934
Ho -3.048 -4.665 0.710
Ho -4.835 0.211 2.852
Ho -9.721 -0.390 0.146
Ho -7.883 -4.454 3.562
Ho 0.000 0.000 0.000
Ho -4.886 -0.601 -2.706
Ho -7.934 -5.266 -1.997
Nd -14.079 -6.739 3.595
Nd -11.414 -2.661 2.975
Nd -15.686 -3.187 0.609
Nd -14.124 -7.450 -1.264
Nd -9.852 -6.924 1.102
Nd -11.458 -3.371 -1.885
CELL_PARAMETERS angstrom
-9.771 -1.203 -5.412
-6.096 -9.330 1.419
-9.670 0.422 5.704
! Calculated total energy   -157.1 eV/cell
! D(E_F)   1.867 states/eV/atom
! Density   5.701 g cm⁻³
! Total magnetization   7.5 μB/f.u.
! Formation enthalpy at 0 K   0.239 eV/atom

***

Entry 13:
! PBE Nd4YHo3, relaxed; values from VASP
&SYSTEM
  ibrav = 0, nat = 8, ntyp = 3
/
ATOMIC_SPECIES
Nd 144.24 Nd.upf
Y 88.91 Y.upf
Ho 164.93 Ho.upf
ATOMIC_POSITIONS angstrom
Nd 3.287 2.090 1.875
Nd 3.894 2.401 4.923
Nd 1.971 2.856 9.887
Nd 1.363 2.546 6.839
Y 2.802 0.000 -0.558
Ho 4.574 0.911 8.330
Ho 0.684 4.035 3.432
Ho -0.036 1.824 -0.179
CELL_PARAMETERS angstrom
5.604 0.000 -1.117
-0.071 3.647 -0.357
-0.275 1.300 13.236
! Calculated total energy   -37.7 eV/cell
! D(E_F)   1.449 states/eV/atom
! Density   7.083 g cm⁻³
! Total magnetization   0.0 μB/f.u.
! Formation enthalpy at 0 K   0.197 eV/atom

***

Entry 14:
! PBE NdY3Ho6, relaxed; values from VASP
&SYSTEM
  ibrav = 0, nat = 10, ntyp = 3
/
ATOMIC_SPECIES
Ho 164.93 Ho.upf
Y 88.91 Y.upf
Nd 144.24 Nd.upf
ATOMIC_POSITIONS angstrom
Ho -6.341 -5.874 1.266
Ho -10.381 -8.092 6.317
Ho -7.024 -3.944 4.507
Ho -6.789 -6.879 6.883
Ho -9.737 -10.075 3.160
Ho -9.903 -7.060 0.798
Y -9.145 -6.330 3.877
Y -6.959 -8.167 3.723
Y -5.026 -2.784 1.971
Nd -11.022 -11.760 5.626
CELL_PARAMETERS angstrom
-6.287 -7.328 -1.858
-3.835 -5.187 7.420
-6.343 -1.678 2.063
! Calculated total energy   -48.7 eV/cell
! D(E_F)   2.096 states/eV/atom
! Density   7.153 g cm⁻³
! Total magnetization   0.0 μB/f.u.
! Formation enthalpy at 0 K   0.293 eV/atom

***

Entry 15:
! PBE Nd3Y2Ho2, relaxed; values from VASP
&SYSTEM
  ibrav = 0, nat = 7, ntyp = 3
/
ATOMIC_SPECIES
Nd 144.24 Nd.upf
Ho 164.93 Ho.upf
Y 88.91 Y.upf
ATOMIC_POSITIONS angstrom
Nd 1.767 -0.323 4.486
Nd 0.000 4.281 -0.379
Nd 0.000 5.345 2.833
Ho 1.767 7.328 0.354
Ho 0.000 -2.305 6.965
Y 0.000 1.743 2.077
Y 1.767 3.279 5.242
CELL_PARAMETERS angstrom
3.535 0.000 0.000
0.000 8.563 -0.757
-1.767 -3.540 8.077
! Calculated total energy   -35.6 eV/cell
! D(E_F)   1.613 states/eV/atom
! Density   6.645 g cm⁻³
! Total magnetization   0.0 μB/f.u.
! Formation enthalpy at 0 K   0.105 eV/atom

***

Entry 16:
! PBE Nd2Y3Ho6, relaxed; values from VASP
&SYSTEM
  ibrav = 0, nat = 11, ntyp = 3
/
ATOMIC_SPECIES
Ho 164.93 Ho.upf
Y 88.91 Y.upf
Nd 144.24 Nd.upf
ATOMIC_POSITIONS angstrom
Ho 4.071 1.771 4.200
Ho 3.398 0.000 10.058
Ho 0.463 1.771 9.183
Ho 3.394 3.536 10.060
Ho 1.137 0.000 3.325
Ho 7.002 3.536 5.076
Y 0.000 0.000 0.000
Y 5.862 3.555 1.753
Y 2.931 1.752 0.876
Nd 5.198 1.769 7.568
Nd 2.267 3.538 6.692
CELL_PARAMETERS angstrom
5.862 0.000 1.753
2.931 5.307 0.876
-1.328 0.000 11.631
! Calculated total energy   -54.3 eV/cell
! D(E_F)   1.703 states/eV/atom
! Density   6.855 g cm⁻³
! Total magnetization   0.0 μB/f.u.
! Formation enthalpy at 0 K   0.188 eV/atom

***

Entry 17:
! PBE NdY3Ho, relaxed; values from VASP
&SYSTEM
  ibrav = 0, nat = 10, ntyp = 3
/
ATOMIC_SPECIES
Nd 144.24 Nd.upf
Ho 164.93 Ho.upf
Y 88.91 Y.upf
ATOMIC_POSITIONS angstrom
Nd 1.424 8.451 3.171
Nd 4.273 2.877 3.591
Ho 4.273 8.991 5.201
Ho 1.424 2.336 1.561
Y 4.273 6.407 2.624
Y 1.424 5.847 0.585
Y 1.424 4.920 4.137
Y 1.424 11.044 5.752
Y 4.273 5.480 6.177
Y 4.273 0.284 1.010
CELL_PARAMETERS angstrom
5.698 0.000 0.000
0.000 9.657 0.649
0.000 1.671 6.113
! Calculated total energy   -57.4 eV/cell
! D(E_F)   1.708 states/eV/atom
! Density   5.793 g cm⁻³
! Total magnetization   0.0 μB/f.u.
! Formation enthalpy at 0 K   0.009 eV/atom

***

Entry 18:
! PBE Nd2Y5Ho, relaxed; values from VASP
&SYSTEM
  ibrav = 0, nat = 16, ntyp = 3
/
ATOMIC_SPECIES
Nd 144.24 Nd.upf
Y 88.91 Y.upf
Ho 164.93 Ho.upf
ATOMIC_POSITIONS angstrom
Nd 2.538 1.803 1.788
Nd 2.538 5.385 12.587
Nd 2.538 5.397 5.399
Nd 2.538 1.791 8.976
Y 0.000 0.000 10.773
Y 2.538 1.793 5.396
Y 0.000 3.594 10.790
Y 0.000 7.188 3.602
Y 0.000 3.594 7.188
Y 0.000 3.594 3.585
Y 2.538 5.395 8.979
Y 2.538 1.801 12.584
Y 0.000 0.000 0.000
Y 2.538 5.387 1.792
Ho 0.000 0.000 7.188
Ho 0.000 3.594 0.000
CELL_PARAMETERS angstrom
5.075 0.000 0.000
0.000 7.188 0.000
0.000 0.000 14.375
! Calculated total energy   -92.5 eV/cell
! D(E_F)   1.483 states/eV/atom
! Density   5.687 g cm⁻³
! Total magnetization   0.0 μB/f.u.
! Formation enthalpy at 0 K   0.021 eV/atom

***

Entry 19:
! PBE Nd2Y5Ho4, relaxed; values from VASP
&SYSTEM
  ibrav = 0, nat = 11, ntyp = 3
/
ATOMIC_SPECIES
Y 88.91 Y.upf
Ho 164.93 Ho.upf
Nd 144.24 Nd.upf
ATOMIC_POSITIONS angstrom
Y 0.483 1.166 3.172
Y 0.685 7.319 4.494
Y 2.847 7.892 7.155
Y 1.716 0.000 -0.262
Y 2.645 1.738 5.833
Ho 0.096 3.171 0.633
Ho 3.234 5.886 9.694
Ho 2.266 4.236 3.343
Ho 1.065 4.822 6.984
Nd 3.137 2.566 9.062
Nd 0.193 6.492 1.265
CELL_PARAMETERS angstrom
3.433 0.000 -0.523
-0.186 8.670 -1.222
0.084 0.388 12.072
! Calculated total energy   -58.5 eV/cell
! D(E_F)   1.992 states/eV/atom
! Density   6.401 g cm⁻³
! Total magnetization   0.0 μB/f.u.
! Formation enthalpy at 0 K   0.153 eV/atom